No. 1
VASP calculation (PBE) on a geometry-optimized LaCo2Pb structure.

abc: 3.442 3.446 6.675
angles: 90.00 90.07 90.00
Fractional positions:
La 0.000 0.000 0.000
Co 0.500 0.500 0.285
Co 0.500 0.500 0.715
Pb 0.000 0.000 0.500

Formation energy in kcal/mol of atoms: 6.34
SG: P2/m (10)
Calculated volume in A^3/atom: 19.79
Fermi-level density of states in states/eV/atom: 0.836

***

No. 2
VASP calculation (PBE) on a geometry-optimized Ba2CeAg2S6 structure.

abc: 8.081 8.081 8.081
angles: 54.95 54.95 54.95
Fractional positions:
Ba 0.215 0.215 0.215
Ba 0.785 0.785 0.785
Ce 0.000 0.000 0.000
Ag 0.423 0.423 0.423
Ag 0.577 0.577 0.577
S 0.208 0.758 0.758
S 0.242 0.242 0.792
S 0.242 0.792 0.242
S 0.758 0.208 0.758
S 0.758 0.758 0.208
S 0.792 0.242 0.242

SG: R-3m (166)
E_form (uncorrected) in eV/atom: -1.03
Calculated volume in A^3/atom: 29.94
Fermi-level density of states in states/eV/atom: 1.037

***

No. 3
VASP calculation (PBE) on a geometry-optimized RbLiGa2Te4 structure.

abc: 7.508 7.508 7.508
angles: 124.43 105.51 99.62
Fractional positions:
Rb 0.000 0.000 0.000
Li 0.500 0.500 0.000
Ga 0.340 0.840 0.500
Ga 0.660 0.160 0.500
Te 0.146 0.089 0.594
Te 0.496 0.553 0.406
Te 0.504 0.911 0.057
Te 0.854 0.447 0.943

SG: I222 (23)
E_form (uncorrected) in eV/atom: -0.42
Calculated volume in A^3/atom: 38.52

***

No. 4
VASP calculation (PBE) on a geometry-optimized KMnCd2Cl8 structure.

abc: 6.214 6.437 8.879
angles: 77.39 83.57 78.43
Fractional positions:
K 0.000 0.000 0.000
Mn 0.000 0.000 0.500
Cd 0.427 0.434 0.232
Cd 0.573 0.566 0.768
Cl 0.162 0.754 0.709
Cl 0.253 0.792 0.298
Cl 0.257 0.212 0.491
Cl 0.331 0.316 0.003
Cl 0.669 0.684 0.997
Cl 0.743 0.788 0.509
Cl 0.747 0.208 0.702
Cl 0.838 0.246 0.291

SG: P-1 (2)
E_form (uncorrected) in eV/atom: -1.14
Calculated volume in A^3/atom: 28.22

***

No. 5
VASP calculation (PBE) on a geometry-optimized Ac2Al4AgHg3 structure.

abc: 4.614 4.614 11.172
angles: 90.00 90.00 90.00
Fractional positions:
Ac 0.000 0.500 0.247
Ac 0.500 0.000 0.753
Al 0.000 0.000 0.500
Al 0.000 0.500 0.874
Al 0.500 0.000 0.126
Al 0.500 0.500 0.500
Ag 0.500 0.500 0.000
Hg 0.000 0.000 0.000
Hg 0.000 0.500 0.635
Hg 0.500 0.000 0.365

Formation energy in kcal/mol of atoms: -8.36
SG: P-4m2 (115)
Calculated volume in A^3/atom: 23.78
Fermi-level density of states in states/eV/atom: 0.453

***

No. 6
VASP calculation (PBE) on a geometry-optimized Ce5DyBi6 structure.

abc: 7.939 7.939 7.926
angles: 99.61 99.61 120.00
Fractional positions:
Ce 0.000 0.000 0.000
Ce 0.166 0.834 0.500
Ce 0.332 0.668 0.000
Ce 0.668 0.332 0.000
Ce 0.834 0.166 0.500
Dy 0.500 0.500 0.500
Bi 0.088 0.418 0.253
Bi 0.254 0.254 0.749
Bi 0.418 0.088 0.253
Bi 0.582 0.912 0.747
Bi 0.746 0.746 0.251
Bi 0.912 0.582 0.747

Formation energy in kcal/mol of atoms: -18.42
SG: C2/m (12)
Calculated volume in A^3/atom: 33.99
Fermi-level density of states in states/eV/atom: 2.862

***

No. 7
VASP calculation (PBE) on a geometry-optimized AlFeSi2 structure.

abc: 4.538 4.538 4.538
angles: 132.48 132.48 69.47
Fractional positions:
Al 0.000 0.000 0.000
Fe 0.250 0.750 0.500
Si 0.500 0.500 0.000
Si 0.750 0.250 0.500

SG: I-4m2 (119)
E_form (uncorrected) in eV/atom: 0.05
Calculated volume in A^3/atom: 12.46
Fermi-level density of states in states/eV/atom: 0.516

***

No. 8
VASP calculation (PBE) on a geometry-optimized GaCu3Bi structure.

abc: 4.572 4.572 4.572
angles: 90.00 90.00 90.00
Fractional positions:
Ga 0.000 0.000 0.000
Cu 0.000 0.000 0.500
Cu 0.000 0.500 0.000
Cu 0.500 0.000 0.000
Bi 0.500 0.500 0.500

Formation energy in kcal/mol of atoms: 10.13
SG: Pm-3m (221)
Offset from the most stable computed form in eV per formula unit: 0.00
Calculated volume in A^3/atom: 19.11
Fermi-level density of states in states/eV/atom: 0.372

***

No. 9
VASP calculation (PBE) on a geometry-optimized Li2Y3In5 structure.

abc: 10.357 10.357 4.391
angles: 90.00 90.00 90.00
Fractional positions:
Li 0.120 0.380 0.000
Li 0.380 0.880 0.000
Li 0.620 0.120 0.000
Li 0.880 0.620 0.000
Y 0.000 0.000 0.000
Y 0.174 0.674 0.000
Y 0.326 0.174 0.000
Y 0.500 0.500 0.000
Y 0.674 0.826 0.000
Y 0.826 0.326 0.000
In 0.000 0.500 0.500
In 0.075 0.212 0.500
In 0.212 0.925 0.500
In 0.288 0.425 0.500
In 0.425 0.712 0.500
In 0.500 0.000 0.500
In 0.575 0.288 0.500
In 0.712 0.575 0.500
In 0.788 0.075 0.500
In 0.925 0.788 0.500

Formation energy in kcal/mol of atoms: -9.17
SG: P4/mbm (127)
Calculated volume in A^3/atom: 23.55
Fermi-level density of states in states/eV/atom: 0.482

***

No. 10
VASP calculation (PBE) on a geometry-optimized LiDyMnIn structure.

abc: 4.840 4.840 4.840
angles: 60.00 60.00 60.00
Fractional positions:
Li 0.000 0.000 0.000
Dy 0.250 0.250 0.250
Mn 0.500 0.500 0.500
In 0.750 0.750 0.750

Formation energy in kcal/mol of atoms: -1.80
SG: F-43m (216)
Calculated volume in A^3/atom: 20.04
Fermi-level density of states in states/eV/atom: 0.851

***

No. 11
VASP calculation (PBE) on a geometry-optimized Sm4Dy2YTm2 structure.

abc: 8.796 8.796 9.635
angles: 100.58 100.58 23.53
Fractional positions:
Sm 0.015 0.015 0.326
Sm 0.322 0.322 0.758
Sm 0.678 0.678 0.242
Sm 0.985 0.985 0.674
Dy 0.346 0.346 0.406
Dy 0.654 0.654 0.594
Y 0.500 0.500 0.000
Tm 0.165 0.165 0.922
Tm 0.835 0.835 0.078

Formation energy in kcal/mol of atoms: 0.73
SG: C2/m (12)
Calculated volume in A^3/atom: 32.49
Fermi-level density of states in states/eV/atom: 1.245

***

No. 12
VASP calculation (PBE) on a geometry-optimized USeO structure.

abc: 3.867 3.867 7.088
angles: 90.00 90.00 90.00
Fractional positions:
U 0.250 0.250 0.184
U 0.750 0.750 0.816
Se 0.250 0.250 0.632
Se 0.750 0.750 0.368
O 0.250 0.750 0.000
O 0.750 0.250 0.000

SG: P4/nmm (129)
E_form (uncorrected) in eV/atom: -2.27
Calculated volume in A^3/atom: 17.66
Fermi-level density of states in states/eV/atom: 2.398